Record 1
## TlGa2Sb (PBE)

Data for a relaxed TlGa2Sb crystal.

Calculated values
N(E_F) ... 0.51 states/eV per atom
Formation energy from raw total energies ... 72 meV/atom
Offset from the most stable computed form ... 0.049 eV per formula unit

Cell lengths 3.6903, 3.6903, 7.4672 Å; angles 90.00, 90.00, 90.00 degrees
Fractional coordinates of all 4 atoms:
1 Sb 0.5000 0.5000 0.0000
2 Tl 0.5000 0.5000 0.5000
3 Ga 0.0000 0.0000 0.2104
4 Ga 0.0000 0.0000 0.7896

Record 2
## Pm3ThAu2 (PBE)

Data for a relaxed Pm3ThAu2 crystal.

Calculated values
N(E_F) ... 0.90 states/eV per atom
Calculated formation energy ... -512.6 meV/atom

Cell lengths 3.6915, 3.6915, 12.1751 Å; angles 90.00, 90.00, 90.00 degrees
Fractional coordinates of all 6 atoms:
1 Pm 0.0000 0.0000 0.6984
2 Pm 0.0000 0.0000 0.3016
3 Pm 0.0000 0.0000 0.0000
4 Au 0.5000 0.5000 0.8504
5 Au 0.5000 0.5000 0.1496
6 Th 0.5000 0.5000 0.5000

Record 3
## CaReSb2 (PBE)

Data for a relaxed CaReSb2 crystal.

Calculated values
N(E_F) ... 0.43 states/eV per atom
Formation energy from raw total energies ... 64 meV/atom
Offset from the most stable computed form ... 0.364 eV per formula unit

Cell lengths 4.9124, 4.9124, 4.9124 Å; angles 60.00, 60.00, 60.00 degrees
Fractional coordinates of all 4 atoms:
1 Ca 0.0000 0.0000 0.0000
2 Sb 0.7500 0.7500 0.7500
3 Sb 0.2500 0.2500 0.2500
4 Re 0.5000 0.5000 0.5000

Record order is preserved below.
E: -3.063 -5.217 -5.610 eV/atom